(1)
Entry from Alexandria via LeMat-Bulk: FeCoP4 after structural relaxation (PBE).

* ΔE_f: -91.2 kJ/mol of formula units
* offset from the most stable computed form: 0.00 kcal/mol of atoms
* SG: P2_1/c, No. 14
* electronic total energy: -6.3589 eV per atom

Cell lengths 5.4406, 5.5952, 5.3866 Å; angles 90.00, 99.39, 90.00 degrees
Fractional positions:
P 0.3987 0.8629 0.1120
P 0.8986 0.6372 0.1120
P 0.7287 0.6977 0.6899
P 0.7714 0.1977 0.3101
P 0.2286 0.8023 0.6899
P 0.2713 0.3023 0.3101
P 0.1014 0.3628 0.8880
P 0.6013 0.1371 0.8880
Co 0.5000 0.0000 0.5000
Co 0.0000 0.5000 0.5000
Fe 0.0000 0.0000 0.0000
Fe 0.5000 0.5000 0.0000

=====

(2)
Entry from Alexandria via LeMat-Bulk: SrCrSi after structural relaxation (PBE).

* energy relative to the elements, uncorrected: 1007 meV per atom
* SG: F-43m, No. 216
* electronic total energy: -4.5693 eV per atom

Cell lengths 5.0021, 5.0021, 5.0021 Å; angles 60.00, 60.00, 60.00 degrees
Each line ends with the local moment (μB).
Fractional positions:
Si 0.5000 0.5000 0.5000  -0.25
Cr 0.0000 0.0000 0.0000  4.08
Sr 0.7500 0.7500 0.7500  0.03

=====

(3)
Entry from Alexandria via LeMat-Bulk: LiZnIn2 after structural relaxation (PBE).

* ΔE_f: -14.2 kJ/mol of formula units
* SG: C2/m, No. 12
* electronic total energy: -2.2030 eV per atom

Cell lengths 5.7608, 5.6809, 3.1793 Å; angles 76.59, 84.58, 118.72 degrees
Fractional positions:
In 0.0000 0.0000 0.0000
In 0.5000 0.0000 0.5000
Li 0.0000 0.5000 0.5000
Zn 0.5000 0.5000 0.0000

=====

(4)
Entry from Alexandria via LeMat-Bulk: HoPu2Fe2 after structural relaxation (PBE).

* ΔE_f: 36.3 kJ/mol of formula units
* SG: P-1, No. 2
* electronic total energy: -9.9582 eV per atom

Cell lengths 4.7900, 5.5471, 9.1573 Å; angles 111.52, 90.02, 115.63 degrees
Each line ends with the local moment (μB).
Fractional positions:
Fe 0.8252 0.6527 0.3403  -1.77
Fe 0.1748 0.3473 0.6597  -1.77
Fe 0.3618 0.7245 0.2106  -1.67
Fe 0.6382 0.2755 0.7894  -1.67
Pu 0.6735 0.3469 0.0601  5.12
Pu 0.3706 0.7419 0.5326  5.28
Pu 0.3265 0.6531 0.9399  5.12
Pu 0.6294 0.2581 0.4674  5.28
Ho 0.9483 0.8970 0.7858  0.33
Ho 0.0517 0.1030 0.2142  0.33

=====

(5)
Entry from Alexandria via LeMat-Bulk: PaSnTe2 after structural relaxation (PBE).

* energy relative to the elements, uncorrected: -343 meV per atom
* SG: P4/mmm, No. 123
* electronic total energy: -5.2881 eV per atom

Cell lengths 3.9258, 5.2806, 5.2806 Å; angles 90.00, 90.00, 90.00 degrees
Each line ends with the local moment (μB).
Fractional positions:
Pa 0.5000 0.5000 0.5000  1.22
Te 0.0000 0.5000 0.0000  -0.03
Te 0.0000 0.0000 0.5000  -0.03
Sn 0.5000 0.0000 0.0000  0.01

=====

(6)
Entry from Alexandria via LeMat-Bulk: SrFe2Br after structural relaxation (PBE).

* offset from the most stable computed form: 0.59 kcal/mol of atoms
* energy relative to the elements, uncorrected: 64 meV per atom
* SG: P4mm, No. 99
* electronic total energy: -5.0056 eV per atom

Cell lengths 3.4255, 3.4255, 7.9987 Å; angles 90.00, 90.00, 90.00 degrees
Each line ends with the local moment (μB).
Fractional positions:
Fe 0.5000 0.5000 0.1916  2.66
Fe 0.0000 0.0000 0.0990  2.91
Sr 0.0000 0.0000 0.4866  -0.06
Br 0.5000 0.5000 0.7228  0.00

=====

Look up the electronic total energy of the third one.
-2.2030 eV per atom